# NaCrBi3 | Alexandria via LeMat-Bulk | PBE-GGA | optimized geometry
data_NaCrBi3
_space_group_name_H-M_alt 'P m -3 m'
_space_group_IT_number 221
_space_group_name_Hall '-P 4 2 3'
_cell_length_a 5.387
_cell_length_b 5.387
_cell_length_c 5.387
_cell_angle_alpha 90.00
_cell_angle_beta 90.00
_cell_angle_gamma 90.00
loop_
_atom_site_label
_atom_site_type_symbol
_atom_site_fract_x
_atom_site_fract_y
_atom_site_fract_z
Na1 Na 0.000 0.000 0.000
Cr1 Cr 0.500 0.500 0.500
Bi1 Bi 0.000 0.500 0.500
# - energy of formation from the pure elements (eV/f.u.) = 1.28
# - energy above the lowest structure with this stoichiometry (meV per atom) = 0
# - magnetic moment (μB/atom) = 0.496